Entry 1:
{
  "formula": "Ta2MnP2",
  "functional": "PBE-GGA",
  "state": "optimized geometry",
  "lattice_angstrom": [[5.8023, 0.0000, 0.0000], [0.0000, 5.8023, 0.0000], [0.0000, 0.0000, 4.0855]],
  "species": ["P", "P", "P", "P", "Ta", "Ta", "Ta", "Ta", "Mn", "Mn"],
  "frac_coords": [[0.1396, 0.3604, 0.0000], [0.8604, 0.6396, 0.0000], [0.6396, 0.1396, 0.0000], [0.3604, 0.8604, 0.0000], [0.8294, 0.3294, 0.5000], [0.6706, 0.8294, 0.5000], [0.1706, 0.6706, 0.5000], [0.3294, 0.1706, 0.5000], [0.0000, 0.0000, 0.0000], [0.5000, 0.5000, 0.0000]],
  "m_tot_mub_per_cell": 0.00,
  "dos_at_fermi_per_ev_cell": 11.66
}


Entry 2:
{
  "formula": "Hg5P3",
  "functional": "PBE-GGA",
  "state": "optimized geometry",
  "lattice_angstrom": [[5.6027, -5.9129, 0.0000], [5.6027, 5.9129, 0.0000], [0.0000, 0.0000, 3.0253]],
  "species": ["Hg", "Hg", "Hg", "Hg", "Hg", "P", "P", "P"],
  "frac_coords": [[0.2430, 0.7570, 0.5000], [0.5000, 0.0000, 0.0000], [0.7570, 0.2430, 0.5000], [0.0000, 0.0000, 0.0000], [0.0000, 0.5000, 0.0000], [0.6494, 0.6494, 0.5000], [0.3506, 0.3506, 0.5000], [0.5000, 0.5000, 0.0000]],
  "m_tot_mub_per_cell": 0.00,
  "dos_at_fermi_per_ev_cell": 4.32
}


One value per record, in order, for formation energy from the elements: -0.51; 0.32 eV/atom.